(1)
Density functional theory data (PBE) for a relaxed Pr5Ru2O12 crystal.

Unit cell a=12.9039 b=6.0288 c=7.7488 alpha=90.00 beta=107.49 gamma=90.00
With the nearest neighbours (Å) after each atom.
Space group C2/m (No. 12)
Unique sites:
Pr: 0.0000 0.0000 0.0000 x2  6 O 2.43-2.44
Pr: 0.1907 0.5000 0.3323 x4  7 O 2.41-2.54
Pr: 0.1935 0.5000 0.8572 x4  7 O 2.40-2.54
Ru: 0.0000 0.2348 0.5000 x4  6 O 1.96-2.07
O: 0.0000 0.5000 0.3294 x4  2 Ru 2.07
O: 0.0008 0.0000 0.6852 x4  2 Ru 2.01
O: 0.1548 0.2506 0.0775 x8  4 Pr 2.40-2.44
O: 0.1591 0.2552 0.5785 x8  1 Ru 1.96

Output
**Magnetic moment**: 0.264 μB per atom
**VASP energy**: -7.9448 eV/atom
**Formation energy (no corrections)**: -2.5792 eV per atom


(2)
Density functional theory data (PBE) for a relaxed ErMgSnPd crystal.

Unit cell a=6.9854 b=6.9854 c=6.9854 alpha=90.00 beta=90.00 gamma=90.00
With the nearest neighbours (Å) after each atom.
Space group F-43m (No. 216)
Unique sites:
Er: 0.0000 0.0000 0.0000 x4  4 Sn 3.02, 4 Pd 3.02
Mg: 0.0000 0.0000 0.5000 x4  4 Sn 3.02, 4 Pd 3.02
Sn: 0.2500 0.2500 0.2500 x4  4 Mg 3.02, 4 Er 3.02
Pd: 0.2500 0.2500 0.7500 x4  4 Mg 3.02, 4 Er 3.02

Output
**Magnetic moment**: 0.000 μB per atom
**VASP energy**: -4.4513 eV/atom


(3)
Density functional theory data (PBE) for a relaxed La2HoP3Pt12 crystal.

Unit cell a=8.3150 b=8.3150 c=18.3735 alpha=90.00 beta=90.00 gamma=120.00
With the nearest neighbours (Å) after each atom.
Space group R-3m (No. 166, hexagonal axes)
Unique sites:
La: 0.0000 0.0000 0.1033 x6  6 Pt 2.92-3.05
Ho: 0.0000 0.0000 0.5000 x3  6 Pt 2.69
P: 0.0000 0.5000 0.0000 x9  6 Pt 2.32-2.33
Pt: 0.0253 0.5126 0.8736 x18  1 P 2.33
Pt: 0.0404 0.5202 0.3585 x18  2 P 2.32

Output
**Magnetic moment**: 0.000 μB per atom
**VASP energy**: -6.2566 eV/atom


(4)
Density functional theory data (PBE) for a relaxed LaAlH5 crystal.

Unit cell a=7.8227 b=4.7920 c=7.8184 alpha=90.00 beta=114.62 gamma=90.00
With the nearest neighbours (Å) after each atom.
Space group C2/c (No. 15)
Unique sites:
La: 0.0000 0.2488 0.2500 x4  14 H 2.40-2.67
Al: 0.2500 0.2500 0.0000 x4  4 H 1.70
H: 0.0000 0.2510 0.7500 x4  2 Al 2.11
H: 0.1624 0.0128 0.5859 x8  1 Al 1.70
H: 0.1632 0.4888 0.5880 x8  1 Al 1.70

Output
**Magnetic moment**: 0.000 μB per atom
**VASP energy**: -3.8904 eV/atom